#a
# BaSmTl (PBE-GGA, optimized geometry)
# - density of states at the Fermi level (states/eV/cell) = 4.19
data_BaSmTl
_chemical_formula_sum 'Ba1 Sm1 Tl1'
_cell_length_a 4.232
_cell_length_b 5.588
_cell_length_c 5.588
_cell_angle_alpha 120.00
_cell_angle_beta 90.00
_cell_angle_gamma 90.00
_symmetry_space_group_name_H-M 'P 1'
_symmetry_Int_Tables_number 1
loop_
_symmetry_equiv_pos_as_xyz
'x,y,z'
loop_
_atom_site_label
_atom_site_type_symbol
_atom_site_fract_x
_atom_site_fract_y
_atom_site_fract_z
_atom_site_occupancy
Tl1 Tl 0.165 0.000 0.000 1
Ba1 Ba 0.667 0.333 0.667 1
Sm1 Sm 0.168 0.667 0.333 1

=====

#b
# BaSmTl (PBE-GGA, optimized geometry)
# - density of states at the Fermi level (states/eV/cell) = 3.56
data_BaSmTl
_chemical_formula_sum 'Ba2 Sm2 Tl2'
_cell_length_a 5.308
_cell_length_b 5.307
_cell_length_c 8.375
_cell_angle_alpha 89.97
_cell_angle_beta 89.97
_cell_angle_gamma 90.00
_symmetry_space_group_name_H-M 'P 1'
_symmetry_Int_Tables_number 1
loop_
_symmetry_equiv_pos_as_xyz
'x,y,z'
loop_
_atom_site_label
_atom_site_type_symbol
_atom_site_fract_x
_atom_site_fract_y
_atom_site_fract_z
_atom_site_occupancy
Ba1 Ba 0.814 0.867 0.558 1
Ba2 Ba 0.313 0.366 0.281 1
Sm1 Sm 0.814 0.366 0.920 1
Sm2 Sm 0.314 0.867 0.920 1
Tl1 Tl 0.813 0.866 0.141 1
Tl2 Tl 0.314 0.367 0.699 1

=====

Energies, relative to the best one, in kJ/mol of atoms: #a 17.2; #b 0.0.

=====

#a
# BaSm2Tl (PBE-GGA, optimized geometry)
# - density of states at the Fermi level (states/eV/cell) = 5.51
data_BaSm2Tl
_chemical_formula_sum 'Ba1 Sm2 Tl1'
_cell_length_a 3.775
_cell_length_b 3.775
_cell_length_c 12.432
_cell_angle_alpha 81.27
_cell_angle_beta 81.27
_cell_angle_gamma 60.00
_symmetry_space_group_name_H-M 'P 1'
_symmetry_Int_Tables_number 1
loop_
_symmetry_equiv_pos_as_xyz
'x,y,z'
loop_
_atom_site_label
_atom_site_type_symbol
_atom_site_fract_x
_atom_site_fract_y
_atom_site_fract_z
_atom_site_occupancy
Tl1 Tl 0.500 0.500 0.500 1
Ba1 Ba 0.000 0.000 0.000 1
Sm1 Sm 0.101 0.101 0.698 1
Sm2 Sm 0.899 0.899 0.302 1

=====

#b
# BaSm2Tl (PBE-GGA, optimized geometry)
# - density of states at the Fermi level (states/eV/cell) = 4.41
data_BaSm2Tl
_chemical_formula_sum 'Ba1 Sm2 Tl1'
_cell_length_a 5.098
_cell_length_b 5.168
_cell_length_c 5.168
_cell_angle_alpha 90.00
_cell_angle_beta 90.00
_cell_angle_gamma 90.00
_symmetry_space_group_name_H-M 'P 1'
_symmetry_Int_Tables_number 1
loop_
_symmetry_equiv_pos_as_xyz
'x,y,z'
loop_
_atom_site_label
_atom_site_type_symbol
_atom_site_fract_x
_atom_site_fract_y
_atom_site_fract_z
_atom_site_occupancy
Tl1 Tl 0.500 0.500 0.500 1
Ba1 Ba 0.500 0.000 0.000 1
Sm1 Sm 0.000 0.000 0.500 1
Sm2 Sm 0.000 0.500 0.000 1

=====

Energies, relative to the best one, in kJ/mol of atoms: #a 11.3; #b 0.0.

=====

#a
# BaSm2Tl (PBE-GGA, optimized geometry)
# - density of states at the Fermi level (states/eV/cell) = 5.03
data_BaSm2Tl
_chemical_formula_sum 'Ba1 Sm2 Tl1'
_cell_length_a 3.788
_cell_length_b 3.788
_cell_length_c 10.232
_cell_angle_alpha 90.00
_cell_angle_beta 90.00
_cell_angle_gamma 90.00
_symmetry_space_group_name_H-M 'P 1'
_symmetry_Int_Tables_number 1
loop_
_symmetry_equiv_pos_as_xyz
'x,y,z'
loop_
_atom_site_label
_atom_site_type_symbol
_atom_site_fract_x
_atom_site_fract_y
_atom_site_fract_z
_atom_site_occupancy
Tl1 Tl 0.500 0.500 0.000 1
Ba1 Ba 0.500 0.500 0.500 1
Sm1 Sm 0.000 0.000 0.805 1
Sm2 Sm 0.000 0.000 0.195 1

=====

#b
# BaSm2Tl (PBE-GGA, optimized geometry)
# - density of states at the Fermi level (states/eV/cell) = 5.87
data_BaSm2Tl
_chemical_formula_sum 'Ba1 Sm2 Tl1'
_cell_length_a 5.327
_cell_length_b 5.327
_cell_length_c 7.143
_cell_angle_alpha 68.11
_cell_angle_beta 68.11
_cell_angle_gamma 60.00
_symmetry_space_group_name_H-M 'P 1'
_symmetry_Int_Tables_number 1
loop_
_symmetry_equiv_pos_as_xyz
'x,y,z'
loop_
_atom_site_label
_atom_site_type_symbol
_atom_site_fract_x
_atom_site_fract_y
_atom_site_fract_z
_atom_site_occupancy
Ba1 Ba 0.492 0.492 0.524 1
Sm1 Sm 0.044 0.044 0.869 1
Sm2 Sm 0.280 0.280 0.161 1
Tl1 Tl 0.685 0.685 0.945 1

=====

Energies, relative to the best one, in kJ/mol of atoms: #a 0.0; #b 8.8.

=====

#a
# BaSmTm2 (PBE-GGA, optimized geometry)
# - density of states at the Fermi level (states/eV/cell) = 5.87
data_BaSmTm2
_chemical_formula_sum 'Ba1 Sm1 Tm2'
_cell_length_a 3.595
_cell_length_b 3.595
_cell_length_c 12.976
_cell_angle_alpha 82.04
_cell_angle_beta 82.04
_cell_angle_gamma 60.00
_symmetry_space_group_name_H-M 'P 1'
_symmetry_Int_Tables_number 1
loop_
_symmetry_equiv_pos_as_xyz
'x,y,z'
loop_
_atom_site_label
_atom_site_type_symbol
_atom_site_fract_x
_atom_site_fract_y
_atom_site_fract_z
_atom_site_occupancy
Tm1 Tm 0.093 0.093 0.720 1
Tm2 Tm 0.907 0.907 0.280 1
Ba1 Ba 0.000 0.000 0.000 1
Sm1 Sm 0.500 0.500 0.500 1

=====

#b
# BaSmTm2 (PBE-GGA, optimized geometry)
# - density of states at the Fermi level (states/eV/cell) = 5.77
data_BaSmTm2
_chemical_formula_sum 'Ba1 Sm1 Tm2'
_cell_length_a 3.693
_cell_length_b 3.693
_cell_length_c 10.706
_cell_angle_alpha 90.00
_cell_angle_beta 90.00
_cell_angle_gamma 90.00
_symmetry_space_group_name_H-M 'P 1'
_symmetry_Int_Tables_number 1
loop_
_symmetry_equiv_pos_as_xyz
'x,y,z'
loop_
_atom_site_label
_atom_site_type_symbol
_atom_site_fract_x
_atom_site_fract_y
_atom_site_fract_z
_atom_site_occupancy
Tm1 Tm 0.000 0.000 0.782 1
Tm2 Tm 0.000 0.000 0.218 1
Ba1 Ba 0.500 0.500 0.500 1
Sm1 Sm 0.500 0.500 0.000 1

=====

Energies, relative to the best one, in kJ/mol of atoms: #a 7.0; #b 0.0.

=====

#a
# BaSm2Tm (PBE-GGA, optimized geometry)
# - density of states at the Fermi level (states/eV/cell) = 5.50
data_BaSm2Tm
_chemical_formula_sum 'Ba1 Sm2 Tm1'
_cell_length_a 3.734
_cell_length_b 3.734
_cell_length_c 10.751
_cell_angle_alpha 90.00
_cell_angle_beta 90.00
_cell_angle_gamma 90.00
_symmetry_space_group_name_H-M 'P 1'
_symmetry_Int_Tables_number 1
loop_
_symmetry_equiv_pos_as_xyz
'x,y,z'
loop_
_atom_site_label
_atom_site_type_symbol
_atom_site_fract_x
_atom_site_fract_y
_atom_site_fract_z
_atom_site_occupancy
Tm1 Tm 0.500 0.500 0.000 1
Ba1 Ba 0.500 0.500 0.500 1
Sm1 Sm 0.000 0.000 0.785 1
Sm2 Sm 0.000 0.000 0.215 1

=====

#b
# BaSm2Tm (PBE-GGA, optimized geometry)
# - density of states at the Fermi level (states/eV/cell) = 5.11
data_BaSm2Tm
_chemical_formula_sum 'Ba1 Sm2 Tm1'
_cell_length_a 3.638
_cell_length_b 3.638
_cell_length_c 13.123
_cell_angle_alpha 82.03
_cell_angle_beta 82.03
_cell_angle_gamma 60.00
_symmetry_space_group_name_H-M 'P 1'
_symmetry_Int_Tables_number 1
loop_
_symmetry_equiv_pos_as_xyz
'x,y,z'
loop_
_atom_site_label
_atom_site_type_symbol
_atom_site_fract_x
_atom_site_fract_y
_atom_site_fract_z
_atom_site_occupancy
Tm1 Tm 0.500 0.500 0.500 1
Ba1 Ba 0.000 0.000 0.000 1
Sm1 Sm 0.094 0.094 0.717 1
Sm2 Sm 0.906 0.906 0.283 1

=====

Energies, relative to the best one, in kJ/mol of atoms: #a 0.0; #b 7.2.

=====

#a
# BaSm2Y (PBE-GGA, optimized geometry)
# - density of states at the Fermi level (states/eV/cell) = 5.27
data_BaSm2Y
_chemical_formula_sum 'Ba1 Sm2 Y1'
_cell_length_a 3.664
_cell_length_b 3.664
_cell_length_c 13.207
_cell_angle_alpha 82.03
_cell_angle_beta 82.03
_cell_angle_gamma 60.00
_symmetry_space_group_name_H-M 'P 1'
_symmetry_Int_Tables_number 1
loop_
_symmetry_equiv_pos_as_xyz
'x,y,z'
loop_
_atom_site_label
_atom_site_type_symbol
_atom_site_fract_x
_atom_site_fract_y
_atom_site_fract_z
_atom_site_occupancy
Y1 Y 0.500 0.500 0.500 1
Ba1 Ba 0.000 0.000 0.000 1
Sm1 Sm 0.094 0.094 0.719 1
Sm2 Sm 0.906 0.906 0.281 1

=====

#b
# BaSm2Y (PBE-GGA, optimized geometry)
# - density of states at the Fermi level (states/eV/cell) = 5.55
data_BaSm2Y
_chemical_formula_sum 'Ba1 Sm2 Y1'
_cell_length_a 3.750
_cell_length_b 3.750
_cell_length_c 10.863
_cell_angle_alpha 90.00
_cell_angle_beta 90.00
_cell_angle_gamma 90.00
_symmetry_space_group_name_H-M 'P 1'
_symmetry_Int_Tables_number 1
loop_
_symmetry_equiv_pos_as_xyz
'x,y,z'
loop_
_atom_site_label
_atom_site_type_symbol
_atom_site_fract_x
_atom_site_fract_y
_atom_site_fract_z
_atom_site_occupancy
Y1 Y 0.500 0.500 0.000 1
Ba1 Ba 0.500 0.500 0.500 1
Sm1 Sm 0.000 0.000 0.782 1
Sm2 Sm 0.000 0.000 0.218 1

=====

Energies, relative to the best one, in kJ/mol of atoms: #a 7.1; #b 0.0.